*a*
This record from Alexandria describes crystalline BaCa2Mo at its relaxed geometry. The functional is PBE.

Unit cell a=3.7701 b=3.7630 c=10.8594 alpha=69.78 beta=90.00 gamma=90.00
Fractional positions:
Ca 0.0000 0.9240 0.0755
Ca 0.0000 0.5760 0.4245
Ba 0.5000 0.7500 0.7500
Mo 0.5000 0.2500 0.2500

For the total moment, the calculation gives 3.23 Bohr magnetons per cell. As for the space group: P2/m.

***

*b*
This record from Alexandria describes crystalline BaCa2Mo at its relaxed geometry. The functional is PBE.

Unit cell a=5.7785 b=5.7785 c=5.7785 alpha=60.00 beta=60.00 gamma=60.00
Fractional positions:
Ca 0.0000 0.0000 0.0000
Ca 0.2500 0.2500 0.2500
Ba 0.5000 0.5000 0.5000
Mo 0.7500 0.7500 0.7500

For the total moment, the calculation gives 2.57 Bohr magnetons per cell. As for the space group: F-43m.

***

Structures ranked by computed energy, the most stable listed first: *a*, *b*.

***

*a*
This record from Alexandria describes crystalline BaCa2Mo at its relaxed geometry. The functional is PBE.

Unit cell a=7.1394 b=7.1394 c=5.9625 alpha=65.29 beta=65.29 gamma=31.22
Fractional positions:
Ca 0.8030 0.8030 0.6965
Ca 0.0018 0.0018 0.9984
Mo 0.4927 0.4927 0.5079
Ba 0.2025 0.2025 0.2972

For the total moment, the calculation gives 2.51 Bohr magnetons per cell. As for the space group: Cm.

***

*b*
This record from Alexandria describes crystalline BaCa2Mo at its relaxed geometry. The functional is PBE.

Unit cell a=7.7626 b=7.7626 c=8.0932 alpha=61.34 beta=61.34 gamma=90.00
Fractional positions:
Ca 0.8750 0.6249 0.7500
Ca 0.3750 0.6251 0.7500
Ca 0.3749 0.1250 0.2500
Ca 0.3751 0.6250 0.2500
Mo 0.2500 0.7500 0.5000
Mo 0.5000 0.5000 0.0000
Ba 0.0000 0.0000 0.0000
Ba 0.7500 0.2500 0.5000

For the total moment, the calculation gives 0.00 Bohr magnetons per cell. As for the space group: I4_1/amd.

***

Structures ranked by computed energy, the most stable listed first: *a*, *b*.

***

*a*
This record from Alexandria describes crystalline BaCaMo3 at its relaxed geometry. The functional is PBE.

Unit cell a=5.0915 b=5.0915 c=5.0915 alpha=90.00 beta=90.00 gamma=90.00
Fractional positions:
Ca 0.5000 0.5000 0.5000
Mo 0.0000 0.5000 0.0000
Mo 0.5000 0.0000 0.0000
Mo 0.0000 0.0000 0.5000
Ba 0.0000 0.0000 0.0000

For the total moment, the calculation gives 3.80 Bohr magnetons per cell. As for the space group: Pm-3m.

***

*b*
This record from Alexandria describes crystalline BaCaMo3 at its relaxed geometry. The functional is PBE.

Unit cell a=5.2640 b=5.2640 c=5.2640 alpha=90.00 beta=90.00 gamma=90.00
Fractional positions:
Mo 0.5000 0.0000 0.0000
Mo 0.0000 0.0000 0.5000
Mo 0.0000 0.5000 0.0000
Ca 0.0000 0.0000 0.0000
Ba 0.5000 0.5000 0.5000

For the total moment, the calculation gives 9.00 Bohr magnetons per cell. As for the space group: Pm-3m.

***

Structures ranked by computed energy, the most stable listed first: *b*, *a*.

***

*a*
This record from Alexandria describes crystalline BaCa3N at its relaxed geometry. The functional is PBE.

Unit cell a=5.3189 b=5.3189 c=5.3189 alpha=90.00 beta=90.00 gamma=90.00
Fractional positions:
Ca 0.5000 0.0000 0.0000
Ca 0.0000 0.0000 0.5000
Ca 0.0000 0.5000 0.0000
Ba 0.5000 0.5000 0.5000
N 0.0000 0.0000 0.0000

For the total moment, the calculation gives 0.00 Bohr magnetons per cell. As for the space group: Pm-3m.

***

*b*
This record from Alexandria describes crystalline BaCa3N at its relaxed geometry. The functional is PBE.

Unit cell a=6.7188 b=6.7188 c=6.7188 alpha=90.00 beta=90.00 gamma=90.00
Fractional positions:
N 0.5000 0.5000 0.5000
Ba 0.0000 0.0000 0.0000
Ca 0.5000 0.0000 0.0000
Ca 0.0000 0.0000 0.5000
Ca 0.0000 0.5000 0.0000

For the total moment, the calculation gives 1.02 Bohr magnetons per cell. As for the space group: Pm-3m.

***

Structures ranked by computed energy, the most stable listed first: *a*, *b*.